1.
Entry from the Alexandria database: an optimized crystal structure of Pm2CoSn4 (PBE).

The space group is P2_1/m (11). Its total moment is 0.00 μB per formula unit. Its final energy is -5.070 eV per atom. Its formation energy is -0.41 eV per atom.

Cell lengths 6.1602, 6.7559, 9.2369 Å; angles 90.00, 111.59, 90.00 degrees
Closest atoms and distances in Å follow each position.
Sites, in units of the cell vectors:
Co1 0.3343 0.7500 0.2106  4 Sn 2.47-2.48
Pm1 0.7642 0.7500 0.0480  9 Sn 3.13-3.41, 2 Co 3.27-3.49
Sn1 0.6127 0.0296 0.2808  1 Co 2.47
Sn2 0.6127 0.4704 0.2808  1 Co 2.47
Sn3 0.1701 0.7500 0.9214  1 Co 2.48
Co2 0.6657 0.2500 0.7894  4 Sn 2.47-2.48
Sn4 0.3873 0.9704 0.7192  1 Co 2.47
Sn5 0.3873 0.5296 0.7192  1 Co 2.47
Sn6 0.1538 0.7500 0.4108  1 Co 2.48
Sn7 0.8462 0.2500 0.5892  1 Co 2.48
Pm2 0.2358 0.2500 0.9520  9 Sn 3.13-3.41, 2 Co 3.27-3.49
Pm3 0.7747 0.7500 0.5856  8 Sn 3.16-3.41, 1 Co 3.53
Pm4 0.2253 0.2500 0.4144  8 Sn 3.16-3.41, 1 Co 3.53
Sn8 0.8299 0.2500 0.0786  1 Co 2.48



2.
Entry from the Alexandria database: an optimized crystal structure of CeRhN2 (PBE).

The space group is R-3m (166). Its total moment is 1.65 μB per formula unit. Its final energy is -7.865 eV per atom. The uncorrected formation energy comes out at -0.3812 eV/atom.

Cell lengths 3.7225, 3.7225, 6.1323 Å; angles 72.33, 72.33, 60.00 degrees
Closest atoms and distances in Å follow each position.
Sites, in units of the cell vectors:
N1 0.1090 0.1090 0.6731  1 Rh 1.88
Rh1 0.0000 0.0000 0.0000  2 N 1.88
N2 0.8910 0.8910 0.3269  1 Rh 1.88
Ce1 0.5000 0.5000 0.5000  6 N 2.37



3.
Entry from the Alexandria database: an optimized crystal structure of Mg6NbCu (PBE).

The space group is Amm2 (38). Its total moment is 0.00 μB per formula unit. Its final energy is -2.809 eV per atom. As for the polymorph energy (0 for the lowest one): 0.000 eV per atom. Its formation energy is 0.16 eV per atom.

Cell lengths 6.2455, 6.2455, 4.8220 Å; angles 90.00, 90.00, 122.47 degrees
Closest atoms and distances in Å follow each position.
Sites, in units of the cell vectors:
Mg1 0.8317 0.1683 0.5000  10 Mg 2.96-3.18, 2 Nb 3.01
Mg2 0.3222 0.1664 0.5000  8 Mg 2.94-3.18, 2 Nb 3.00-3.25, 2 Cu 3.07
Nb1 0.3163 0.6837 0.5000  2 Cu 2.79, 8 Mg 3.00-3.02
Mg3 0.6561 0.8223 0.0000  8 Mg 2.88-3.17, 1 Cu 2.89, 2 Nb 3.02
Mg4 0.8336 0.6778 0.5000  8 Mg 2.94-3.18, 2 Nb 3.00-3.25, 2 Cu 3.07
Mg5 0.1777 0.3439 0.0000  8 Mg 2.88-3.17, 1 Cu 2.89, 2 Nb 3.02
Cu1 0.1879 0.8121 0.0000  2 Nb 2.79, 8 Mg 2.89-3.07
Mg6 0.6745 0.3255 0.0000  10 Mg 2.96-3.17, 2 Cu 3.01